# 1
## NdEuInGe (GGA-PBE)

Data for a relaxed structure of NdEuInGe.

Summary:
energy relative to the elements	-0.477	eV per atom

CIF file:
```
data_NdEuInGe
_chemical_formula_sum 'Nd1 Eu1 In1 Ge1'
_cell_length_a 5.383
_cell_length_b 5.383
_cell_length_c 5.383
_cell_angle_alpha 60.00
_cell_angle_beta 60.00
_cell_angle_gamma 60.00
_space_group_name_H-M_alt 'P 1'
_space_group_IT_number 1
loop_
_space_group_symop_operation_xyz
'x,y,z'
loop_
_atom_site_label
_atom_site_fract_x
_atom_site_fract_y
_atom_site_fract_z
Nd1 0.000 0.000 0.000
Eu1 0.500 0.500 0.500
In1 0.250 0.250 0.250
Ge1 0.750 0.750 0.750
```

# 2
## PrEuInGe (GGA-PBE)

Data for a relaxed structure of PrEuInGe.

Summary:
energy relative to the elements	-0.480	eV per atom

CIF file:
```
data_PrEuInGe
_chemical_formula_sum 'Pr1 Eu1 In1 Ge1'
_cell_length_a 5.403
_cell_length_b 5.403
_cell_length_c 5.403
_cell_angle_alpha 60.00
_cell_angle_beta 60.00
_cell_angle_gamma 60.00
_space_group_name_H-M_alt 'P 1'
_space_group_IT_number 1
loop_
_space_group_symop_operation_xyz
'x,y,z'
loop_
_atom_site_label
_atom_site_fract_x
_atom_site_fract_y
_atom_site_fract_z
Pr1 0.000 0.000 0.000
Eu1 0.500 0.500 0.500
In1 0.750 0.750 0.750
Ge1 0.250 0.250 0.250
```

# 3
## EuPuInGe (GGA-PBE)

Data for a relaxed structure of EuPuInGe.

Summary:
energy relative to the elements	-0.292	eV per atom

CIF file:
```
data_EuPuInGe
_chemical_formula_sum 'Eu1 Pu1 In1 Ge1'
_cell_length_a 5.312
_cell_length_b 5.312
_cell_length_c 5.312
_cell_angle_alpha 60.00
_cell_angle_beta 60.00
_cell_angle_gamma 60.00
_space_group_name_H-M_alt 'P 1'
_space_group_IT_number 1
loop_
_space_group_symop_operation_xyz
'x,y,z'
loop_
_atom_site_label
_atom_site_fract_x
_atom_site_fract_y
_atom_site_fract_z
Eu1 0.000 0.000 0.000
Pu1 0.500 0.500 0.500
In1 0.750 0.750 0.750
Ge1 0.250 0.250 0.250
```

# 4
## SmEuInGe (GGA-PBE)

Data for a relaxed structure of SmEuInGe.

Summary:
energy relative to the elements	-0.474	eV per atom

CIF file:
```
data_SmEuInGe
_chemical_formula_sum 'Sm1 Eu1 In1 Ge1'
_cell_length_a 5.349
_cell_length_b 5.349
_cell_length_c 5.349
_cell_angle_alpha 60.00
_cell_angle_beta 60.00
_cell_angle_gamma 60.00
_space_group_name_H-M_alt 'P 1'
_space_group_IT_number 1
loop_
_space_group_symop_operation_xyz
'x,y,z'
loop_
_atom_site_label
_atom_site_fract_x
_atom_site_fract_y
_atom_site_fract_z
Sm1 0.000 0.000 0.000
Eu1 0.500 0.500 0.500
In1 0.250 0.250 0.250
Ge1 0.750 0.750 0.750
```

# 5
## EuTlInGe (GGA-PBE)

Data for a relaxed structure of EuTlInGe.

Summary:
energy relative to the elements	-0.212	eV per atom

CIF file:
```
data_EuTlInGe
_chemical_formula_sum 'Eu1 Tl1 In1 Ge1'
_cell_length_a 5.329
_cell_length_b 5.329
_cell_length_c 5.329
_cell_angle_alpha 60.00
_cell_angle_beta 60.00
_cell_angle_gamma 60.00
_space_group_name_H-M_alt 'P 1'
_space_group_IT_number 1
loop_
_space_group_symop_operation_xyz
'x,y,z'
loop_
_atom_site_label
_atom_site_fract_x
_atom_site_fract_y
_atom_site_fract_z
Eu1 0.000 0.000 0.000
Tl1 0.250 0.250 0.250
In1 0.500 0.500 0.500
Ge1 0.750 0.750 0.750
```

# 6
## EuTmInGe (GGA-PBE)

Data for a relaxed structure of EuTmInGe.

Summary:
energy relative to the elements	-0.442	eV per atom

CIF file:
```
data_EuTmInGe
_chemical_formula_sum 'Eu1 Tm1 In1 Ge1'
_cell_length_a 5.263
_cell_length_b 5.263
_cell_length_c 5.263
_cell_angle_alpha 60.00
_cell_angle_beta 60.00
_cell_angle_gamma 60.00
_space_group_name_H-M_alt 'P 1'
_space_group_IT_number 1
loop_
_space_group_symop_operation_xyz
'x,y,z'
loop_
_atom_site_label
_atom_site_fract_x
_atom_site_fract_y
_atom_site_fract_z
Eu1 0.000 0.000 0.000
Tm1 0.500 0.500 0.500
In1 0.250 0.250 0.250
Ge1 0.750 0.750 0.750
```

# 7
## EuYInGe (GGA-PBE)

Data for a relaxed structure of EuYInGe.

Summary:
energy relative to the elements	-0.477	eV per atom

CIF file:
```
data_EuYInGe
_chemical_formula_sum 'Eu1 Y1 In1 Ge1'
_cell_length_a 5.301
_cell_length_b 5.301
_cell_length_c 5.301
_cell_angle_alpha 60.00
_cell_angle_beta 60.00
_cell_angle_gamma 60.00
_space_group_name_H-M_alt 'P 1'
_space_group_IT_number 1
loop_
_space_group_symop_operation_xyz
'x,y,z'
loop_
_atom_site_label
_atom_site_fract_x
_atom_site_fract_y
_atom_site_fract_z
Eu1 0.000 0.000 0.000
Y1 0.500 0.500 0.500
In1 0.250 0.250 0.250
Ge1 0.750 0.750 0.750
```

# 8
## Eu3Ge4Ir4 (GGA-PBE)

Data for a relaxed structure of Eu3Ge4Ir4.

Summary:
energy relative to the elements	-0.678	eV per atom

CIF file:
```
data_Eu3Ge4Ir4
_chemical_formula_sum 'Eu3 Ge4 Ir4'
_cell_length_a 6.680
_cell_length_b 6.680
_cell_length_c 6.680
_cell_angle_alpha 109.47
_cell_angle_beta 109.47
_cell_angle_gamma 109.47
_space_group_name_H-M_alt 'P 1'
_space_group_IT_number 1
loop_
_space_group_symop_operation_xyz
'x,y,z'
loop_
_atom_site_label
_atom_site_fract_x
_atom_site_fract_y
_atom_site_fract_z
Eu1 0.000 0.500 0.500
Eu2 0.500 0.000 0.500
Eu3 0.500 0.500 0.000
Ge1 0.000 0.000 0.377
Ge2 0.000 0.377 0.000
Ge3 0.377 0.000 0.000
Ge4 0.623 0.623 0.623
Ir1 0.000 0.000 0.735
Ir2 0.000 0.735 0.000
Ir3 0.265 0.265 0.265
Ir4 0.735 0.000 0.000
```

# 9
## EuGe2Ir (GGA-PBE)

Data for a relaxed structure of EuGe2Ir.

Summary:
energy relative to the elements	-0.617	eV per atom

CIF file:
```
data_EuGe2Ir
_chemical_formula_sum 'Eu1 Ge2 Ir1'
_cell_length_a 5.831
_cell_length_b 5.831
_cell_length_c 5.831
_cell_angle_alpha 42.32
_cell_angle_beta 42.32
_cell_angle_gamma 42.32
_space_group_name_H-M_alt 'P 1'
_space_group_IT_number 1
loop_
_space_group_symop_operation_xyz
'x,y,z'
loop_
_atom_site_label
_atom_site_fract_x
_atom_site_fract_y
_atom_site_fract_z
Eu1 0.000 0.000 0.000
Ge1 0.217 0.217 0.217
Ge2 0.783 0.783 0.783
Ir1 0.500 0.500 0.500
```

# 10
## EuGe3Ir (GGA-PBE)

Data for a relaxed structure of EuGe3Ir.

Summary:
energy relative to the elements	-0.598	eV per atom

CIF file:
```
data_EuGe3Ir
_chemical_formula_sum 'Eu1 Ge3 Ir1'
_cell_length_a 5.975
_cell_length_b 5.975
_cell_length_c 5.975
_cell_angle_alpha 136.19
_cell_angle_beta 136.19
_cell_angle_gamma 63.68
_space_group_name_H-M_alt 'P 1'
_space_group_IT_number 1
loop_
_space_group_symop_operation_xyz
'x,y,z'
loop_
_atom_site_label
_atom_site_fract_x
_atom_site_fract_y
_atom_site_fract_z
Eu1 0.000 0.000 0.000
Ge1 0.258 0.758 0.500
Ge2 0.417 0.417 0.000
Ge3 0.758 0.258 0.500
Ir1 0.653 0.653 0.000
```

# 11
## EuGe2Ir (GGA-PBE)

Data for a relaxed structure of EuGe2Ir.

Summary:
energy relative to the elements	-0.663	eV per atom

CIF file:
```
data_EuGe2Ir
_chemical_formula_sum 'Eu2 Ge4 Ir2'
_cell_length_a 4.441
_cell_length_b 4.338
_cell_length_c 8.995
_cell_angle_alpha 90.00
_cell_angle_beta 104.28
_cell_angle_gamma 90.00
_space_group_name_H-M_alt 'P 1'
_space_group_IT_number 1
loop_
_space_group_symop_operation_xyz
'x,y,z'
loop_
_atom_site_label
_atom_site_fract_x
_atom_site_fract_y
_atom_site_fract_z
Eu1 0.108 0.250 0.214
Eu2 0.892 0.750 0.786
Ge1 0.248 0.750 0.498
Ge2 0.458 0.250 0.919
Ge3 0.542 0.750 0.081
Ge4 0.752 0.250 0.502
Ir1 0.320 0.250 0.640
Ir2 0.680 0.750 0.360
```

# 12
## KEuGe2O6 (GGA-PBE)

Data for a relaxed structure of KEuGe2O6.

Summary:
electronic total energy	-7.065	eV per atom

CIF file:
```
data_KEuGe2O6
_chemical_formula_sum 'K6 Eu6 Ge12 O36'
_cell_length_a 7.083
_cell_length_b 7.083
_cell_length_c 19.591
_cell_angle_alpha 97.83
_cell_angle_beta 97.83
_cell_angle_gamma 102.79
_space_group_name_H-M_alt 'P 1'
_space_group_IT_number 1
loop_
_space_group_symop_operation_xyz
'x,y,z'
loop_
_atom_site_label
_atom_site_fract_x
_atom_site_fract_y
_atom_site_fract_z
K1 0.106 0.894 0.750
K2 0.215 0.419 0.426
K3 0.419 0.215 0.926
K4 0.581 0.785 0.074
K5 0.785 0.581 0.574
K6 0.894 0.106 0.250
Eu1 0.028 0.611 0.918
Eu2 0.360 0.640 0.250
Eu3 0.389 0.972 0.582
Eu4 0.611 0.028 0.418
Eu5 0.640 0.360 0.750
Eu6 0.972 0.389 0.082
Ge1 0.062 0.884 0.407
Ge2 0.116 0.938 0.093
Ge3 0.130 0.397 0.741
Ge4 0.301 0.466 0.608
Ge5 0.397 0.130 0.241
Ge6 0.466 0.301 0.108
Ge7 0.534 0.699 0.892
Ge8 0.603 0.870 0.759
Ge9 0.699 0.534 0.392
Ge10 0.870 0.603 0.259
Ge11 0.884 0.062 0.907
Ge12 0.938 0.116 0.593
O1 0.004 0.502 0.202
O2 0.033 0.702 0.043
O3 0.063 0.930 0.898
O4 0.070 0.937 0.602
O5 0.073 0.313 0.555
O6 0.081 0.774 0.319
O7 0.219 0.568 0.684
O8 0.226 0.919 0.181
O9 0.294 0.315 0.275
O10 0.298 0.967 0.457
O11 0.313 0.073 0.055
O12 0.315 0.294 0.775
O13 0.317 0.463 0.127
O14 0.353 0.608 0.939
O15 0.392 0.647 0.561
O16 0.432 0.781 0.816
O17 0.463 0.317 0.627
O18 0.498 0.996 0.298
O19 0.502 0.004 0.702
O20 0.537 0.683 0.373
O21 0.568 0.219 0.184
O22 0.608 0.353 0.439
O23 0.647 0.392 0.061
O24 0.683 0.537 0.873
O25 0.685 0.706 0.225
O26 0.687 0.927 0.945
O27 0.702 0.033 0.543
O28 0.706 0.685 0.725
O29 0.774 0.081 0.819
O30 0.781 0.432 0.316
O31 0.919 0.226 0.681
O32 0.927 0.687 0.445
O33 0.930 0.063 0.398
O34 0.937 0.070 0.102
O35 0.967 0.298 0.957
O36 0.996 0.498 0.798
```